Below is crystalline AcNpFe2O6 at its relaxed geometry, with properties calculated at the GGA+U level.

Unit cell a=5.6566 b=5.7183 c=5.9484 alpha=89.97 beta=62.26 gamma=60.73
With the nearest neighbours (Å) after each atom.
Space group P1 (No. 1)
One atom of each set of equivalent atoms:
Ac (0.0000, 0.0000, 0.0000) (multiplicity 1)  6 O 2.44-2.65
Np (0.9676, 0.5186, 0.5562) (multiplicity 1)  6 O 2.11-2.24
Fe (0.5494, 0.7341, 0.1858) (multiplicity 1)  4 O 2.04-2.20
Fe (0.5758, 0.1992, 0.6442) (multiplicity 1)  5 O 2.05-2.29
O (0.0819, 0.8081, 0.3705) (multiplicity 1)  2 Fe 2.14-2.29, 1 Np 2.18
O (0.0933, 0.5517, 0.8313) (multiplicity 1)  1 Np 2.11, 1 Fe 2.13
O (0.4483, 0.1159, 0.3794) (multiplicity 1)  2 Fe 2.14-2.15, 1 Np 2.24
O (0.5265, 0.9110, 0.8626) (multiplicity 1)  2 Fe 2.14-2.20, 1 Np 2.21
O (0.7249, 0.3519, 0.8262) (multiplicity 1)  1 Fe 2.05, 1 Np 2.14
O (0.7625, 0.4589, 0.3519) (multiplicity 1)  1 Fe 2.04, 1 Np 2.15

Computed properties:
Total energy (eV per atom): -8.198
Total magnetization (μB/cell): 6.00